1.
GdYGaHg: relaxed, PBE.

extended XYZ file:
```
4
Lattice="-1.491 4.055 -2.899 -4.721 2.080 0.669 -0.487 4.706 2.164" Properties=species:S:1:pos:R:3 pbc="T T T"
Hg -3.349 5.420 -0.033
Ga 0.000 0.000 0.000
Gd -1.675 2.710 -0.016
Y -5.024 8.131 -0.049
```

Values from the calculation:
* magnetic moment: 7.82 μB per cell
* formation energy from the elements: -0.541 eV per atom
* DOS(E_F): 0.874 states/eV/atom
* calculated density: 8613 kg/m3

2.
KTcSe4: relaxed, PBE.

extended XYZ file:
```
6
Lattice="-2.186 1.344 5.296 -5.484 -1.601 1.413 -0.894 -4.244 3.978" Properties=species:S:1:pos:R:3 pbc="T T T"
Se -5.942 -2.487 4.718
Se -3.218 -1.691 4.016
Se -3.662 -3.799 5.992
Se -4.304 -1.023 6.647
K 0.000 0.000 0.000
Tc -6.422 -3.375 8.015
```

Values from the calculation:
* formation energy (no corrections): 0.628 eV per atom
* magnetic moment: 4.37 μB per cell
* DOS(E_F): 0.820 states/eV/atom
* calculated density: 5219 kg/m3

3.
BaDy2Cd2In2: relaxed, PBE.

extended XYZ file:
```
7
Lattice="-4.946 1.068 0.247 -2.867 -2.098 3.612 -0.688 7.170 7.172" Properties=species:S:1:pos:R:3 pbc="T T T"
In -2.133 1.506 2.735
In -6.369 4.634 8.296
Dy -1.467 4.119 4.782
Dy -7.035 2.021 6.249
Cd -3.885 4.506 6.640
Cd -4.617 1.634 4.390
Ba 0.000 0.000 0.000
```

Values from the calculation:
* magnetic moment: 0.00 μB per cell
* formation energy from the elements: -0.314 eV per atom
* DOS(E_F): 0.390 states/eV/atom
* calculated density: 7035 kg/m3

4.
Ta6ReMo2: relaxed, PBE.

extended XYZ file:
```
18
Lattice="-2.047 1.437 4.938 0.531 -6.108 1.998 8.104 2.016 4.010" Properties=species:S:1:pos:R:3 pbc="T T T"
Mo 5.124 -2.794 8.088
Mo 1.464 0.138 2.857
Mo 4.614 0.468 7.788
Mo 1.974 -3.123 3.157
Ta 0.841 -4.082 6.857
Ta 3.686 -1.087 3.608
Ta 6.399 -1.036 9.734
Ta 2.903 -1.569 7.338
Ta 0.873 -1.181 5.310
Ta 5.715 -1.475 5.635
Ta 5.747 1.426 4.088
Ta 6.576 2.228 7.563
Ta 3.422 -3.355 5.454
Ta 0.189 -1.619 1.212
Ta 0.012 -4.883 3.383
Ta 3.166 0.699 5.492
Re -0.758 -2.336 3.468
Re 4.052 1.008 2.005
```

Values from the calculation:
* magnetic moment: 0.00 μB per cell
* formation energy from the elements: 0.314 eV per atom
* offset from the most stable computed form: 547 meV/atom
* DOS(E_F): 0.984 states/eV/atom
* calculated density: 14807 kg/m3